Record 1
# Sr2GaAgF8 PBE-GGA optimized geometry
data_Sr2GaAgF8
_symmetry_space_group_name_H-M 'P 1'
_symmetry_Int_Tables_number 1
_symmetry_space_group_name_Hall 'P 1'
_cell_length_a 4.998
_cell_length_b 5.029
_cell_length_c 7.842
_cell_angle_alpha 92.51
_cell_angle_beta 92.80
_cell_angle_gamma 92.77
loop_
_atom_site_label
_atom_site_fract_x
_atom_site_fract_y
_atom_site_fract_z
Sr1 0.049 0.047 0.260
Sr2 0.951 0.953 0.740
Ga1 0.500 0.500 0.500
Ag1 0.500 0.500 0.000
F1 0.191 0.187 0.984
F2 0.225 0.230 0.541
F3 0.266 0.625 0.320
F4 0.375 0.738 0.677
F5 0.625 0.262 0.323
F6 0.734 0.375 0.680
F7 0.775 0.770 0.459
F8 0.809 0.813 0.016
# - SG: P-1 (2)
# - D(E_F): 0.00 states/eV/f.u.
# - Raw formation energy: -289.32 kJ/mol of atoms
# - Total magnetization: 0.00 μB/f.u.
# - Crystal system: triclinic

=====

Record 2
# Co4ReHg PBE-GGA optimized geometry
data_Co4ReHg
_symmetry_space_group_name_H-M 'P 1'
_symmetry_Int_Tables_number 1
_symmetry_space_group_name_Hall 'P 1'
_cell_length_a 4.733
_cell_length_b 4.733
_cell_length_c 4.733
_cell_angle_alpha 60.00
_cell_angle_beta 60.00
_cell_angle_gamma 60.00
loop_
_atom_site_label
_atom_site_fract_x
_atom_site_fract_y
_atom_site_fract_z
Co1 0.125 0.125 0.125
Co2 0.125 0.125 0.626
Co3 0.125 0.626 0.125
Co4 0.626 0.125 0.125
Re1 0.750 0.750 0.750
Hg1 0.500 0.500 0.500
# - SG: F-43m (216)
# - D(E_F): 8.12 states/eV/f.u.
# - Total magnetization: 0.55 μB/f.u.
# - Formation energy from the elements: 2.474 eV per formula unit
# - Crystal system: cubic

=====

Record 3
# VCrSiCl2 PBE-GGA optimized geometry
data_VCrSiCl2
_symmetry_space_group_name_H-M 'P 1'
_symmetry_Int_Tables_number 1
_symmetry_space_group_name_Hall 'P 1'
_cell_length_a 4.365
_cell_length_b 4.365
_cell_length_c 4.993
_cell_angle_alpha 90.00
_cell_angle_beta 90.00
_cell_angle_gamma 90.00
loop_
_atom_site_label
_atom_site_fract_x
_atom_site_fract_y
_atom_site_fract_z
V1 0.000 0.000 0.000
Cr1 0.000 0.000 0.500
Si1 0.500 0.500 0.000
Cl1 0.000 0.500 0.500
Cl2 0.500 0.000 0.500
# - SG: P4/mmm (123)
# - D(E_F): 5.71 states/eV/f.u.
# - Raw formation energy: 72.70 kJ/mol of atoms
# - Total magnetization: 1.72 μB/f.u.
# - Crystal system: tetragonal

=====

Record 4
# CaYZnRu PBE-GGA optimized geometry
data_CaYZnRu
_symmetry_space_group_name_H-M 'P 1'
_symmetry_Int_Tables_number 1
_symmetry_space_group_name_Hall 'P 1'
_cell_length_a 4.941
_cell_length_b 4.941
_cell_length_c 4.941
_cell_angle_alpha 60.00
_cell_angle_beta 60.00
_cell_angle_gamma 60.00
loop_
_atom_site_label
_atom_site_fract_x
_atom_site_fract_y
_atom_site_fract_z
Ca1 0.000 0.000 0.000
Y1 0.500 0.500 0.500
Zn1 0.250 0.250 0.250
Ru1 0.750 0.750 0.750
# - SG: F-43m (216)
# - D(E_F): 2.88 states/eV/f.u.
# - Total magnetization: 0.00 μB/f.u.
# - Formation energy from the elements: -0.512 eV per formula unit
# - Crystal system: cubic

=====

Record 5
# TbIn4Ni2 PBE-GGA optimized geometry
data_TbIn4Ni2
_symmetry_space_group_name_H-M 'P 1'
_symmetry_Int_Tables_number 1
_symmetry_space_group_name_Hall 'P 1'
_cell_length_a 18.151
_cell_length_b 4.428
_cell_length_c 7.026
_cell_angle_alpha 90.00
_cell_angle_beta 90.00
_cell_angle_gamma 90.00
loop_
_atom_site_label
_atom_site_fract_x
_atom_site_fract_y
_atom_site_fract_z
Tb1 0.141 0.250 0.029
Tb2 0.359 0.750 0.529
Tb3 0.641 0.250 0.471
Tb4 0.859 0.750 0.971
In1 0.032 0.750 0.853
In2 0.071 0.250 0.506
In3 0.185 0.750 0.326
In4 0.195 0.750 0.741
In5 0.305 0.250 0.241
In6 0.315 0.250 0.826
In7 0.429 0.750 0.006
In8 0.468 0.250 0.353
In9 0.532 0.750 0.647
In10 0.571 0.250 0.994
In11 0.685 0.750 0.174
In12 0.695 0.750 0.759
In13 0.805 0.250 0.259
In14 0.815 0.250 0.674
In15 0.929 0.750 0.494
In16 0.968 0.250 0.147
Ni1 0.042 0.750 0.242
Ni2 0.217 0.250 0.538
Ni3 0.283 0.750 0.038
Ni4 0.458 0.250 0.742
Ni5 0.542 0.750 0.258
Ni6 0.717 0.250 0.962
Ni7 0.783 0.750 0.462
Ni8 0.958 0.250 0.758
# - SG: Pnma (62)
# - D(E_F): 3.69 states/eV/f.u.
# - Total magnetization: 0.00 μB/f.u.
# - Formation energy from the elements: -2.122 eV per formula unit
# - Crystal system: orthorhombic

=====

Record 6
# MnCdSi PBE-GGA optimized geometry
data_MnCdSi
_symmetry_space_group_name_H-M 'P 1'
_symmetry_Int_Tables_number 1
_symmetry_space_group_name_Hall 'P 1'
_cell_length_a 4.121
_cell_length_b 4.121
_cell_length_c 3.273
_cell_angle_alpha 90.00
_cell_angle_beta 90.00
_cell_angle_gamma 120.00
loop_
_atom_site_label
_atom_site_fract_x
_atom_site_fract_y
_atom_site_fract_z
Mn1 0.000 0.000 0.000
Cd1 0.333 0.667 0.500
Si1 0.667 0.333 0.000
# - SG: P-6m2 (187)
# - D(E_F): 2.48 states/eV/f.u.
# - Raw formation energy: 30.74 kJ/mol of atoms
# - Total magnetization: 1.82 μB/f.u.
# - Crystal system: hexagonal

=====

Record 7
# Pm2Zn2Cu5Ag PBE-GGA optimized geometry
data_Pm2Zn2Cu5Ag
_symmetry_space_group_name_H-M 'P 1'
_symmetry_Int_Tables_number 1
_symmetry_space_group_name_Hall 'P 1'
_cell_length_a 9.801
_cell_length_b 9.801
_cell_length_c 3.668
_cell_angle_alpha 90.00
_cell_angle_beta 90.00
_cell_angle_gamma 90.00
loop_
_atom_site_label
_atom_site_fract_x
_atom_site_fract_y
_atom_site_fract_z
Pm1 0.180 0.320 0.000
Pm2 0.320 0.820 0.000
Pm3 0.680 0.180 0.000
Pm4 0.820 0.680 0.000
Zn1 0.117 0.617 0.000
Zn2 0.383 0.117 0.000
Zn3 0.617 0.883 0.000
Zn4 0.883 0.383 0.000
Cu1 0.000 0.500 0.500
Cu2 0.050 0.796 0.500
Cu3 0.204 0.050 0.500
Cu4 0.296 0.550 0.500
Cu5 0.450 0.296 0.500
Cu6 0.500 0.000 0.500
Cu7 0.550 0.704 0.500
Cu8 0.704 0.450 0.500
Cu9 0.796 0.950 0.500
Cu10 0.950 0.204 0.500
Ag1 0.000 0.000 0.000
Ag2 0.500 0.500 0.000
# - SG: P4/mbm (127)
# - D(E_F): 8.16 states/eV/f.u.
# - Total magnetization: 0.00 μB/f.u.
# - Formation energy from the elements: -0.362 eV per formula unit
# - Crystal system: tetragonal

=====

Record 8
# Cu2BiPb2 PBE-GGA optimized geometry
data_Cu2BiPb2
_symmetry_space_group_name_H-M 'P 1'
_symmetry_Int_Tables_number 1
_symmetry_space_group_name_Hall 'P 1'
_cell_length_a 10.406
_cell_length_b 10.406
_cell_length_c 10.406
_cell_angle_alpha 160.78
_cell_angle_beta 160.78
_cell_angle_gamma 27.31
loop_
_atom_site_label
_atom_site_fract_x
_atom_site_fract_y
_atom_site_fract_z
Cu1 0.250 0.750 0.500
Cu2 0.750 0.250 0.500
Bi1 0.000 0.000 0.000
Pb1 0.368 0.368 0.000
Pb2 0.632 0.632 0.000
# - SG: I4/mmm (139)
# - D(E_F): 3.06 states/eV/f.u.
# - Total magnetization: 0.00 μB/f.u.
# - Formation energy from the elements: 1.015 eV per formula unit
# - Crystal system: tetragonal

=====

Record 9
# AcTlSn2 PBE-GGA optimized geometry
data_AcTlSn2
_symmetry_space_group_name_H-M 'P 1'
_symmetry_Int_Tables_number 1
_symmetry_space_group_name_Hall 'P 1'
_cell_length_a 5.665
_cell_length_b 5.665
_cell_length_c 5.665
_cell_angle_alpha 60.00
_cell_angle_beta 60.00
_cell_angle_gamma 60.00
loop_
_atom_site_label
_atom_site_fract_x
_atom_site_fract_y
_atom_site_fract_z
Ac1 0.000 0.000 0.000
Tl1 0.500 0.500 0.500
Sn1 0.250 0.250 0.250
Sn2 0.750 0.750 0.750
# - SG: Fm-3m (225)
# - D(E_F): 4.21 states/eV/f.u.
# - Total magnetization: 0.00 μB/f.u.
# - Formation energy from the elements: -0.878 eV per formula unit
# - Crystal system: cubic

=====

Record 10
# NaPbO PBE-GGA optimized geometry
data_NaPbO
_symmetry_space_group_name_H-M 'P 1'
_symmetry_Int_Tables_number 1
_symmetry_space_group_name_Hall 'P 1'
_cell_length_a 5.869
_cell_length_b 4.160
_cell_length_c 10.358
_cell_angle_alpha 90.00
_cell_angle_beta 90.00
_cell_angle_gamma 90.00
loop_
_atom_site_label
_atom_site_fract_x
_atom_site_fract_y
_atom_site_fract_z
Na1 0.036 0.250 0.097
Na2 0.464 0.750 0.597
Na3 0.536 0.250 0.403
Na4 0.964 0.750 0.903
Pb1 0.021 0.750 0.362
Pb2 0.479 0.250 0.862
Pb3 0.521 0.750 0.138
Pb4 0.979 0.250 0.638
O1 0.091 0.250 0.860
O2 0.409 0.750 0.360
O3 0.591 0.250 0.640
O4 0.909 0.750 0.140
# - SG: Pnma (62)
# - D(E_F): 0.35 states/eV/f.u.
# - Raw formation energy: -86.48 kJ/mol of atoms
# - Total magnetization: 0.00 μB/f.u.
# - Crystal system: orthorhombic

=====

Record 11
# Y3GeTe2 PBE-GGA optimized geometry
data_Y3GeTe2
_symmetry_space_group_name_H-M 'P 1'
_symmetry_Int_Tables_number 1
_symmetry_space_group_name_Hall 'P 1'
_cell_length_a 7.466
_cell_length_b 7.466
_cell_length_c 7.418
_cell_angle_alpha 99.76
_cell_angle_beta 99.76
_cell_angle_gamma 119.31
loop_
_atom_site_label
_atom_site_fract_x
_atom_site_fract_y
_atom_site_fract_z
Y1 0.000 0.500 0.000
Y2 0.143 0.290 0.494
Y3 0.290 0.143 0.994
Y4 0.500 0.000 0.500
Y5 0.710 0.857 0.006
Y6 0.857 0.710 0.506
Ge1 0.090 0.910 0.250
Ge2 0.910 0.090 0.750
Te1 0.259 0.741 0.750
Te2 0.419 0.581 0.250
Te3 0.581 0.419 0.750
Te4 0.741 0.259 0.250
# - SG: C2/c (15)
# - D(E_F): 1.48 states/eV/f.u.
# - Raw formation energy: -124.42 kJ/mol of atoms
# - Total magnetization: 0.00 μB/f.u.
# - Crystal system: monoclinic

=====

Record 12
# Tb3Pr2Y3 PBE-GGA optimized geometry
data_Tb3Pr2Y3
_symmetry_space_group_name_H-M 'P 1'
_symmetry_Int_Tables_number 1
_symmetry_space_group_name_Hall 'P 1'
_cell_length_a 12.185
_cell_length_b 12.185
_cell_length_c 6.270
_cell_angle_alpha 104.88
_cell_angle_beta 104.88
_cell_angle_gamma 17.10
loop_
_atom_site_label
_atom_site_fract_x
_atom_site_fract_y
_atom_site_fract_z
Tb1 0.000 0.000 0.000
Tb2 0.124 0.124 0.791
Tb3 0.876 0.876 0.209
Pr1 0.251 0.251 0.250
Pr2 0.749 0.749 0.750
Y1 0.377 0.377 0.710
Y2 0.500 0.500 0.500
Y3 0.623 0.623 0.290
# - SG: C2/m (12)
# - D(E_F): 11.27 states/eV/f.u.
# - Total magnetization: 0.00 μB/f.u.
# - Formation energy from the elements: 0.017 eV per formula unit
# - Crystal system: monoclinic